# ScNiPt

A geometry-optimized ScNiPt structure (PBE, Alexandria via LeMat-Bulk).

Cell and atoms, written as CIF:
```
data_ScNiPt
_cell_length_a 3.5295
_cell_length_b 3.7376
_cell_length_c 4.0310
_cell_angle_alpha 90.00
_cell_angle_beta 90.00
_cell_angle_gamma 90.00
_space_group_name_H-M_alt 'P 1'
_space_group_IT_number 1
loop_
_space_group_symop_operation_xyz
'x,y,z'
loop_
_atom_site_label
_atom_site_type_symbol
_atom_site_fract_x
_atom_site_fract_y
_atom_site_fract_z
Sc1 Sc 0.0000 0.0000 0.0000
Ni1 Ni 0.5000 0.0000 0.5000
Pt1 Pt 0.0000 0.5000 0.5000
```

Density of states at the Fermi level in states/eV/cell: 1.863
Spin magnetization in μB/atom: 0.000
Space-group type: No. 47
DFT formation energy in eV per atom: -0.505
DFT total energy in eV for the cell shown: -19.67



# Sc2NiPt

A geometry-optimized Sc2NiPt structure (PBE, Alexandria via LeMat-Bulk).

Cell and atoms, written as CIF:
```
data_Sc2NiPt
_cell_length_a 6.6622
_cell_length_b 6.6622
_cell_length_c 6.6622
_cell_angle_alpha 32.52
_cell_angle_beta 32.52
_cell_angle_gamma 32.52
_space_group_name_H-M_alt 'P 1'
_space_group_IT_number 1
loop_
_space_group_symop_operation_xyz
'x,y,z'
loop_
_atom_site_label
_atom_site_type_symbol
_atom_site_fract_x
_atom_site_fract_y
_atom_site_fract_z
Sc1 Sc 0.2458 0.2458 0.2458
Sc2 Sc 0.7542 0.7542 0.7542
Ni1 Ni 0.5000 0.5000 0.5000
Pt1 Pt 0.0000 0.0000 0.0000
```

Density of states at the Fermi level in states/eV/cell: 3.499
Spin magnetization in μB/atom: 0.000
Space-group type: No. 166
DFT formation energy in eV per atom: -0.568
DFT total energy in eV for the cell shown: -26.76



The lowest DFT total energy belongs to which entry? Sc2NiPt



What is the DFT total energy in the second record? -26.76 eV for the cell shown



Look up the spin magnetization of the first one. 0.000 μB/atom